Entry 1:
! GGA-PBE CsCaAu2, optimized geometry; values from VASP
&SYSTEM
  ibrav = 0, nat = 4, ntyp = 3
/
ATOMIC_SPECIES
Cs 132.91 Cs.upf
Ca 40.08 Ca.upf
Au 196.97 Au.upf
CELL_PARAMETERS angstrom
3.929 0.000 0.000
0.000 3.929 0.000
0.000 0.000 8.220
ATOMIC_POSITIONS crystal
Cs 0.000 0.000 0.000
Ca 0.000 0.000 0.500
Au 0.500 0.500 0.322
Au 0.500 0.500 0.678
! - formation energy from the elements (eV per atom) = -0.5280
! - theoretical density (g/cm3) = 7.42
! - SG = No. 123
! - raw total energy (Ry per atom) = -0.21171

***

Entry 2:
! GGA-PBE Ac2SnBr2, optimized geometry; values from VASP
&SYSTEM
  ibrav = 0, nat = 5, ntyp = 3
/
ATOMIC_SPECIES
Ac 227.00 Ac.upf
Sn 118.71 Sn.upf
Br 79.90 Br.upf
CELL_PARAMETERS angstrom
2.388 1.379 10.843
-2.388 1.379 10.843
0.000 -2.757 10.843
ATOMIC_POSITIONS crystal
Ac 0.109 0.109 0.109
Ac 0.891 0.891 0.891
Sn 0.500 0.500 0.500
Br 0.277 0.277 0.277
Br 0.723 0.723 0.723
! - E_form (uncorrected) (eV/f.u.) = -7.05
! - theoretical density (g/cm3) = 5.68
! - SG = No. 166
! - raw total energy (Ry per atom) = -0.33240

***

Entry 3:
! GGA-PBE ZrTc2Sb, optimized geometry; values from VASP
&SYSTEM
  ibrav = 0, nat = 4, ntyp = 3
/
ATOMIC_SPECIES
Zr 91.22 Zr.upf
Tc 98.00 Tc.upf
Sb 121.76 Sb.upf
CELL_PARAMETERS angstrom
1.537 0.887 9.113
-1.537 0.887 9.113
0.000 -1.774 9.113
ATOMIC_POSITIONS crystal
Zr 0.000 0.000 0.000
Tc 0.245 0.245 0.245
Tc 0.511 0.511 0.511
Sb 0.759 0.759 0.759
! - E_form (uncorrected) (eV/f.u.) = 0.88
! - theoretical density (g/cm3) = 9.11
! - SG = No. 160
! - raw total energy (Ry per atom) = -0.59758

***

Entry 4:
! GGA-PBE Mn2SeCl, optimized geometry; values from VASP
&SYSTEM
  ibrav = 0, nat = 4, ntyp = 3
/
ATOMIC_SPECIES
Mn 54.94 Mn.upf
Se 78.96 Se.upf
Cl 35.45 Cl.upf
CELL_PARAMETERS angstrom
3.320 0.000 0.000
0.000 3.320 0.000
0.000 0.000 7.268
ATOMIC_POSITIONS crystal
Mn 0.000 0.000 0.000
Mn 0.500 0.500 0.220
Se 0.000 0.000 0.354
Cl 0.500 0.500 0.834
! - E_form (uncorrected) (eV/f.u.) = -1.16
! - theoretical density (g/cm3) = 4.65
! - SG = No. 99
! - raw total energy (Ry per atom) = -0.45633

***

Which value of raw total energy does entry 4 give?
-0.45633 Ry per atom

***

What is the raw total energy in the third record?
-0.59758 Ry per atom

***

Which of these has the lowest theoretical density?
Mn2SeCl

***

Which of these has the lowest raw total energy?
ZrTc2Sb